(1)
Below is an optimized crystal structure of Lu2FeH, with properties calculated at the PBE level.

Summary:
ΔE to the lowest computed polymorph: 337 meV per atom

Cell: 8.3003 8.3003 8.3003 Å, 22.37 22.37 22.37°
Positions (direct):
Lu  0.1095  0.1095  0.1095
Lu  0.8905  0.8905  0.8905
Fe  0.0000  0.0000  0.0000
H  0.5000  0.5000  0.5000



(2)
Below is an optimized crystal structure of MgFe2H2, with properties calculated at the PBE level.

Summary:
final energy: -5.02 eV/atom

Cell: 5.0571 5.0571 5.0571 Å, 143.07 143.07 53.22°
Positions (direct):
Mg  0.0000  0.0000  0.0000
Fe  0.3236  0.3236  0.0000
Fe  0.6764  0.6764  0.0000
H  0.2500  0.7500  0.5000
H  0.7500  0.2500  0.5000



(3)
Below is an optimized crystal structure of Mg3FeH, with properties calculated at the PBE level.

Summary:
ΔE to the lowest computed polymorph: 0 meV per atom

Cell: 4.1937 4.1937 4.1937 Å, 90.00 90.00 90.00°
Positions (direct):
Mg  0.0000  0.0000  0.5000
Mg  0.0000  0.5000  0.0000
Mg  0.5000  0.0000  0.0000
Fe  0.5000  0.5000  0.5000
H  0.0000  0.0000  0.0000



(4)
Below is an optimized crystal structure of Mg2Fe4H, with properties calculated at the PBE level.

Summary:
final energy: -5.52 eV/atom

Cell: 7.2362 7.2362 7.2362 Å, 150.32 150.32 42.47°
Positions (direct):
Mg  0.1658  0.1658  0.0000
Mg  0.8342  0.8342  0.0000
Fe  0.0000  0.5000  0.5000
Fe  0.3741  0.3741  0.0000
Fe  0.5000  0.0000  0.5000
Fe  0.6259  0.6259  0.0000
H  0.5000  0.5000  0.0000



(5)
Below is an optimized crystal structure of MgFe2H6, with properties calculated at the PBE level.

Summary:
final energy: -4.29 eV/atom

Cell: 4.3255 4.3255 4.1390 Å, 90.00 90.00 120.00°
Positions (direct):
Mg  0.0000  0.0000  0.0000
Fe  0.3333  0.6667  0.5000
Fe  0.6667  0.3333  0.5000
H  0.0000  0.4034  0.7488
H  0.0000  0.5966  0.2512
H  0.4034  0.0000  0.7488
H  0.4034  0.4034  0.2512
H  0.5966  0.0000  0.2512
H  0.5966  0.5966  0.7488



(6)
Below is an optimized crystal structure of Mg2FeH6, with properties calculated at the PBE level.

Summary:
final energy: -3.84 eV/atom

Cell: 4.5037 4.5037 4.5037 Å, 60.00 60.00 60.00°
Positions (direct):
Mg  0.2500  0.2500  0.2500
Mg  0.7500  0.7500  0.7500
Fe  0.0000  0.0000  0.0000
H  0.2447  0.2447  0.7553
H  0.2447  0.7553  0.2447
H  0.2447  0.7553  0.7553
H  0.7553  0.2447  0.2447
H  0.7553  0.2447  0.7553
H  0.7553  0.7553  0.2447



(7)
Below is an optimized crystal structure of Mg3FeH, with properties calculated at the PBE level.

Summary:
ΔE to the lowest computed polymorph: 885 meV per atom

Cell: 4.8770 4.8770 4.8770 Å, 90.00 90.00 90.00°
Positions (direct):
Mg  0.0000  0.0000  0.5000
Mg  0.0000  0.5000  0.0000
Mg  0.5000  0.0000  0.0000
Fe  0.0000  0.0000  0.0000
H  0.5000  0.5000  0.5000



(8)
Below is an optimized crystal structure of MgFeH5, with properties calculated at the PBE level.

Summary:
final energy: -3.73 eV/atom

Cell: 4.6181 4.6181 4.6181 Å, 111.49 83.46 138.37°
Positions (direct):
Mg  0.0000  0.0000  0.0000
Fe  0.4992  0.9992  0.5000
H  0.2695  0.9974  0.2721
H  0.4998  0.3012  0.8014
H  0.4998  0.6984  0.1986
H  0.7253  0.9974  0.7279
H  0.9994  0.4994  0.5000



(9)
Below is an optimized crystal structure of NaMgFeH6, with properties calculated at the PBE level.

Summary:
final energy: -3.59 eV/atom

Cell: 4.3213 4.7070 4.7554 Å, 89.99 63.31 89.74°
Positions (direct):
Na  0.0000  0.0000  0.0000
Mg  0.3040  0.5013  0.3911
Fe  0.6227  0.5027  0.7595
H  0.4820  0.7465  0.0194
H  0.4920  0.2694  0.6129
H  0.5106  0.2581  0.0173
H  0.5247  0.7335  0.5823
H  0.8896  0.2729  0.5591
H  0.8927  0.7368  0.5916



(10)
Below is an optimized crystal structure of Na2MgFeH8, with properties calculated at the PBE level.

Summary:
final energy: -3.19 eV/atom

Cell: 5.0901 5.0901 5.1509 Å, 90.00 90.00 120.00°
Positions (direct):
Na  0.3333  0.6667  0.3642
Na  0.6667  0.3333  0.6358
Mg  0.0000  0.0000  0.0000
Fe  0.0000  0.0000  0.5000
H  0.1455  0.2911  0.6828
H  0.1455  0.8545  0.6828
H  0.2911  0.1455  0.3172
H  0.3333  0.6667  0.9489
H  0.6667  0.3333  0.0511
H  0.7089  0.8545  0.6828
H  0.8545  0.1455  0.3172
H  0.8545  0.7089  0.3172